Entry 1:
Entry from Alexandria: crystalline LiPrSnPd at its relaxed geometry (PBE).

Properties
uncorrected energy = -75.69 eV/cell
energy of formation = -0.758 eV per atom
total magnetic moment = 0.00 μB/atom

The structure in POSCAR format:
```
LiPrSnPd
1.0
6.914 0.000 0.000
0.000 6.914 0.000
0.000 0.000 6.914
Li Pr Sn Pd
4 4 4 4
direct
0.000 0.000 0.000 Li
0.000 0.500 0.500 Li
0.500 0.000 0.500 Li
0.500 0.500 0.000 Li
0.250 0.250 0.250 Pr
0.250 0.750 0.750 Pr
0.750 0.250 0.750 Pr
0.750 0.750 0.250 Pr
0.250 0.250 0.750 Sn
0.250 0.750 0.250 Sn
0.750 0.250 0.250 Sn
0.750 0.750 0.750 Sn
0.000 0.000 0.500 Pd
0.000 0.500 0.000 Pd
0.500 0.000 0.000 Pd
0.500 0.500 0.500 Pd
```


Entry 2:
Entry from Alexandria: crystalline CeZrNi2 at its relaxed geometry (PBE).

Properties
uncorrected energy = -81.27 eV/cell
energy of formation = -0.261 eV per atom
relative energy among the computed polymorphs = 42 meV per atom
total magnetic moment = 0.09 μB/atom

The structure in POSCAR format:
```
CeZrNi2
1.0
4.478 0.000 0.000
-2.239 3.878 0.000
0.000 0.000 13.311
Ce Zr Ni
3 3 6
direct
0.000 0.000 0.000 Ce
0.333 0.667 0.667 Ce
0.667 0.333 0.333 Ce
0.000 0.000 0.500 Zr
0.333 0.667 0.167 Zr
0.667 0.333 0.833 Zr
0.000 0.000 0.212 Ni
0.000 0.000 0.788 Ni
0.333 0.667 0.455 Ni
0.333 0.667 0.879 Ni
0.667 0.333 0.121 Ni
0.667 0.333 0.545 Ni
```


Entry 3:
Entry from Alexandria: crystalline KSrTl6 at its relaxed geometry (PBE).

Properties
uncorrected energy = -36.51 eV/cell
energy of formation = -0.160 eV per atom
total magnetic moment = 0.00 μB/atom

The structure in POSCAR format:
```
KSrTl6
1.0
5.521 0.000 0.000
0.000 7.675 0.000
0.000 0.000 12.124
K Sr Tl
2 2 12
direct
0.000 0.000 0.000 K
0.000 0.500 0.500 K
0.500 0.000 0.289 Sr
0.500 0.500 0.789 Sr
0.000 0.000 0.472 Tl
0.000 0.214 0.734 Tl
0.000 0.286 0.234 Tl
0.000 0.500 0.972 Tl
0.000 0.714 0.234 Tl
0.000 0.786 0.734 Tl
0.500 0.000 0.813 Tl
0.500 0.217 0.552 Tl
0.500 0.283 0.052 Tl
0.500 0.500 0.313 Tl
0.500 0.717 0.052 Tl
0.500 0.783 0.552 Tl
```


Entry 4:
Entry from Alexandria: crystalline CeCo2B2C at its relaxed geometry (PBE).

Properties
uncorrected energy = -90.93 eV/cell
energy of formation = -0.456 eV per atom
total magnetic moment = 0.00 μB/atom

The structure in POSCAR format:
```
CeCo2B2C
1.0
3.633 0.000 0.000
0.000 3.633 0.000
0.000 0.000 10.005
Ce Co B C
2 4 4 2
direct
0.000 0.000 0.000 Ce
0.500 0.500 0.500 Ce
0.000 0.500 0.250 Co
0.000 0.500 0.750 Co
0.500 0.000 0.250 Co
0.500 0.000 0.750 Co
0.000 0.000 0.348 B
0.000 0.000 0.652 B
0.500 0.500 0.152 B
0.500 0.500 0.848 B
0.000 0.000 0.500 C
0.500 0.500 0.000 C
```


Entry 5:
Entry from Alexandria: crystalline Sn2Hg2As at its relaxed geometry (PBE).

Properties
uncorrected energy = -24.76 eV/cell
energy of formation = 0.176 eV per atom
relative energy among the computed polymorphs = 166 meV per atom
total magnetic moment = 0.00 μB/atom

The structure in POSCAR format:
```
Sn2Hg2As
1.0
4.001 0.000 0.000
0.000 4.001 0.000
0.000 0.000 17.238
Sn Hg As
4 4 2
direct
0.000 0.000 0.087 Sn
0.000 0.000 0.913 Sn
0.500 0.500 0.413 Sn
0.500 0.500 0.587 Sn
0.000 0.500 0.250 Hg
0.000 0.500 0.750 Hg
0.500 0.000 0.250 Hg
0.500 0.000 0.750 Hg
0.000 0.000 0.500 As
0.500 0.500 0.000 As
```


Entry 6:
Entry from Alexandria: crystalline Nd4PaRh5 at its relaxed geometry (PBE).

Properties
uncorrected energy = -71.12 eV/cell
energy of formation = -0.580 eV per atom
total magnetic moment = 0.00 μB/atom

The structure in POSCAR format:
```
Nd4PaRh5
1.0
-4.821 4.821 2.577
4.821 -4.821 2.577
4.821 4.821 -2.577
Nd Pa Rh
4 1 5
direct
0.000 0.288 0.288 Nd
0.000 0.712 0.712 Nd
0.288 0.000 0.288 Nd
0.712 0.000 0.712 Nd
0.581 0.581 0.000 Pa
0.088 0.088 0.000 Rh
0.296 0.296 0.627 Rh
0.296 0.669 0.000 Rh
0.669 0.296 0.000 Rh
0.669 0.669 0.373 Rh
```


Entry 7:
Entry from Alexandria: crystalline V2Ge2Sb at its relaxed geometry (PBE).

Properties
uncorrected energy = -62.79 eV/cell
formation energy (no corrections) = 40 meV per atom
total magnetic moment = 0.00 μB/atom

The structure in POSCAR format:
```
V2Ge2Sb
1.0
7.050 0.000 0.000
0.000 7.050 0.000
0.000 0.000 3.378
V Ge Sb
4 4 2
direct
0.152 0.348 0.000 V
0.348 0.848 0.000 V
0.652 0.152 0.000 V
0.848 0.652 0.000 V
0.138 0.638 0.500 Ge
0.362 0.138 0.500 Ge
0.638 0.862 0.500 Ge
0.862 0.362 0.500 Ge
0.000 0.000 0.000 Sb
0.500 0.500 0.000 Sb
```


Entry 8:
Entry from Alexandria: crystalline Mg2MnPdN at its relaxed geometry (PBE).

Properties
uncorrected energy = -28.06 eV/cell
formation energy (no corrections) = -436 meV per atom
total magnetic moment = 0.75 μB/atom

The structure in POSCAR format:
```
Mg2MnPdN
1.0
4.286 0.000 0.000
0.000 4.286 0.000
0.000 0.000 3.891
Mg Mn Pd N
2 1 1 1
direct
0.000 0.500 0.000 Mg
0.500 0.000 0.000 Mg
0.000 0.000 0.500 Mn
0.500 0.500 0.500 Pd
0.000 0.000 0.000 N
```